w.
# KCaLa3 PBE optimized geometry
data_KCaLa3
_chemical_formula_sum 'K1 Ca1 La3'
_symmetry_space_group_name_H-M 'P 1'
_symmetry_Int_Tables_number 1
_cell_length_a 6.1799
_cell_length_b 6.1799
_cell_length_c 6.1799
_cell_angle_alpha 90.00
_cell_angle_beta 90.00
_cell_angle_gamma 90.00
loop_
_symmetry_equiv_pos_as_xyz
'x,y,z'
loop_
_atom_site_label
_atom_site_type_symbol
_atom_site_fract_x
_atom_site_fract_y
_atom_site_fract_z
K1 K 0.0000 0.0000 0.0000
Ca1 Ca 0.5000 0.5000 0.5000
La1 La 0.0000 0.5000 0.5000
La2 La 0.5000 0.0000 0.5000
La3 La 0.5000 0.5000 0.0000
# - Space-group type: Pm-3m (221)
# - Total moment: 0.0 μB per formula unit



x.
# KCaLa3 PBE optimized geometry
data_KCaLa3
_chemical_formula_sum 'K1 Ca1 La3'
_symmetry_space_group_name_H-M 'P 1'
_symmetry_Int_Tables_number 1
_cell_length_a 5.9337
_cell_length_b 5.9337
_cell_length_c 5.9337
_cell_angle_alpha 90.00
_cell_angle_beta 90.00
_cell_angle_gamma 90.00
loop_
_symmetry_equiv_pos_as_xyz
'x,y,z'
loop_
_atom_site_label
_atom_site_type_symbol
_atom_site_fract_x
_atom_site_fract_y
_atom_site_fract_z
K1 K 0.0000 0.0000 0.0000
Ca1 Ca 0.5000 0.5000 0.5000
La1 La 0.0000 0.0000 0.5000
La2 La 0.0000 0.5000 0.0000
La3 La 0.5000 0.0000 0.0000
# - Space-group type: Pm-3m (221)
# - Total moment: 0.0 μB per formula unit



The most stable of them is w.



w.
# KCa2LaOs PBE optimized geometry
data_KCa2LaOs
_chemical_formula_sum 'K1 Ca2 La1 Os1'
_symmetry_space_group_name_H-M 'P 1'
_symmetry_Int_Tables_number 1
_cell_length_a 5.9330
_cell_length_b 5.9330
_cell_length_c 5.3535
_cell_angle_alpha 90.00
_cell_angle_beta 90.00
_cell_angle_gamma 90.00
loop_
_symmetry_equiv_pos_as_xyz
'x,y,z'
loop_
_atom_site_label
_atom_site_type_symbol
_atom_site_fract_x
_atom_site_fract_y
_atom_site_fract_z
K1 K 0.0000 0.0000 0.0000
Ca1 Ca 0.0000 0.5000 0.5000
Ca2 Ca 0.5000 0.0000 0.5000
La1 La 0.5000 0.5000 0.0000
Os1 Os 0.5000 0.5000 0.5000
# - Space-group type: P4/mmm (123)
# - Total moment: 0.0 μB per formula unit



x.
# KCa2LaOs PBE optimized geometry
data_KCa2LaOs
_chemical_formula_sum 'K1 Ca2 La1 Os1'
_symmetry_space_group_name_H-M 'P 1'
_symmetry_Int_Tables_number 1
_cell_length_a 6.4164
_cell_length_b 6.4164
_cell_length_c 4.9685
_cell_angle_alpha 90.00
_cell_angle_beta 90.00
_cell_angle_gamma 90.00
loop_
_symmetry_equiv_pos_as_xyz
'x,y,z'
loop_
_atom_site_label
_atom_site_type_symbol
_atom_site_fract_x
_atom_site_fract_y
_atom_site_fract_z
K1 K 0.0000 0.0000 0.0000
Ca1 Ca 0.0000 0.5000 0.5000
Ca2 Ca 0.5000 0.0000 0.5000
La1 La 0.5000 0.5000 0.5000
Os1 Os 0.5000 0.5000 0.0000
# - Space-group type: P4/mmm (123)
# - Total moment: 0.0 μB per formula unit



The most stable of them is w.



w.
# KCaLa2Ru PBE optimized geometry
data_KCaLa2Ru
_chemical_formula_sum 'K1 Ca1 La2 Ru1'
_symmetry_space_group_name_H-M 'P 1'
_symmetry_Int_Tables_number 1
_cell_length_a 5.4186
_cell_length_b 5.4186
_cell_length_c 6.6388
_cell_angle_alpha 90.00
_cell_angle_beta 90.00
_cell_angle_gamma 90.00
loop_
_symmetry_equiv_pos_as_xyz
'x,y,z'
loop_
_atom_site_label
_atom_site_type_symbol
_atom_site_fract_x
_atom_site_fract_y
_atom_site_fract_z
K1 K 0.0000 0.0000 0.0000
Ca1 Ca 0.5000 0.5000 0.0000
La1 La 0.0000 0.5000 0.5000
La2 La 0.5000 0.0000 0.5000
Ru1 Ru 0.0000 0.0000 0.5000
# - Space-group type: P4/mmm (123)
# - Total moment: 0.0 μB per formula unit



x.
# KCaLa2Ru PBE optimized geometry
data_KCaLa2Ru
_chemical_formula_sum 'K1 Ca1 La2 Ru1'
_symmetry_space_group_name_H-M 'P 1'
_symmetry_Int_Tables_number 1
_cell_length_a 5.5238
_cell_length_b 5.5238
_cell_length_c 6.1451
_cell_angle_alpha 90.00
_cell_angle_beta 90.00
_cell_angle_gamma 90.00
loop_
_symmetry_equiv_pos_as_xyz
'x,y,z'
loop_
_atom_site_label
_atom_site_type_symbol
_atom_site_fract_x
_atom_site_fract_y
_atom_site_fract_z
K1 K 0.0000 0.0000 0.0000
Ca1 Ca 0.5000 0.5000 0.0000
La1 La 0.0000 0.5000 0.5000
La2 La 0.5000 0.0000 0.5000
Ru1 Ru 0.5000 0.5000 0.5000
# - Space-group type: P4/mmm (123)
# - Total moment: 0.0 μB per formula unit



The most stable of them is x.



w.
# KLi2Ca PBE optimized geometry
data_KLi2Ca
_chemical_formula_sum 'K1 Li2 Ca1'
_symmetry_space_group_name_H-M 'P 1'
_symmetry_Int_Tables_number 1
_cell_length_a 4.0180
_cell_length_b 5.4797
_cell_length_c 7.1355
_cell_angle_alpha 90.00
_cell_angle_beta 106.06
_cell_angle_gamma 90.00
loop_
_symmetry_equiv_pos_as_xyz
'x,y,z'
loop_
_atom_site_label
_atom_site_type_symbol
_atom_site_fract_x
_atom_site_fract_y
_atom_site_fract_z
K1 K 0.0000 0.0000 0.0000
Li1 Li 0.6038 0.5000 0.2086
Li2 Li 0.7287 0.0000 0.4575
Ca1 Ca 0.3056 0.5000 0.6152
# - Space-group type: Pm (6)
# - Total moment: 0.0 μB per formula unit



x.
# KLi2Ca PBE optimized geometry
data_KLi2Ca
_chemical_formula_sum 'K3 Li6 Ca3'
_symmetry_space_group_name_H-M 'P 1'
_symmetry_Int_Tables_number 1
_cell_length_a 3.8653
_cell_length_b 3.8653
_cell_length_c 35.0976
_cell_angle_alpha 90.00
_cell_angle_beta 90.00
_cell_angle_gamma 120.00
loop_
_symmetry_equiv_pos_as_xyz
'x,y,z'
loop_
_atom_site_label
_atom_site_type_symbol
_atom_site_fract_x
_atom_site_fract_y
_atom_site_fract_z
K1 K 0.0000 0.0000 0.0000
K2 K 0.3333 0.6667 0.6667
K3 K 0.6667 0.3333 0.3333
Li1 Li 0.0000 0.0000 0.2435
Li2 Li 0.0000 0.0000 0.7565
Li3 Li 0.3333 0.6667 0.4232
Li4 Li 0.3333 0.6667 0.9102
Li5 Li 0.6667 0.3333 0.0898
Li6 Li 0.6667 0.3333 0.5768
Ca1 Ca 0.0000 0.0000 0.5000
Ca2 Ca 0.3333 0.6667 0.1667
Ca3 Ca 0.6667 0.3333 0.8333
# - Space-group type: R-3m (166)
# - Total moment: 0.0 μB per formula unit



The most stable of them is w.



w.
# K3LiCa PBE optimized geometry
data_K3LiCa
_chemical_formula_sum 'K3 Li1 Ca1'
_symmetry_space_group_name_H-M 'P 1'
_symmetry_Int_Tables_number 1
_cell_length_a 6.7369
_cell_length_b 6.7369
_cell_length_c 6.7369
_cell_angle_alpha 90.00
_cell_angle_beta 90.00
_cell_angle_gamma 90.00
loop_
_symmetry_equiv_pos_as_xyz
'x,y,z'
loop_
_atom_site_label
_atom_site_type_symbol
_atom_site_fract_x
_atom_site_fract_y
_atom_site_fract_z
K1 K 0.0000 0.0000 0.5000
K2 K 0.0000 0.5000 0.0000
K3 K 0.5000 0.0000 0.0000
Li1 Li 0.0000 0.0000 0.0000
Ca1 Ca 0.5000 0.5000 0.5000
# - Space-group type: Pm-3m (221)
# - Total moment: 0.0 μB per formula unit



x.
# K3LiCa PBE optimized geometry
data_K3LiCa
_chemical_formula_sum 'K3 Li1 Ca1'
_symmetry_space_group_name_H-M 'P 1'
_symmetry_Int_Tables_number 1
_cell_length_a 7.5161
_cell_length_b 7.5161
_cell_length_c 7.5161
_cell_angle_alpha 90.00
_cell_angle_beta 90.00
_cell_angle_gamma 90.00
loop_
_symmetry_equiv_pos_as_xyz
'x,y,z'
loop_
_atom_site_label
_atom_site_type_symbol
_atom_site_fract_x
_atom_site_fract_y
_atom_site_fract_z
K1 K 0.0000 0.0000 0.5000
K2 K 0.0000 0.5000 0.0000
K3 K 0.5000 0.0000 0.0000
Li1 Li 0.5000 0.5000 0.5000
Ca1 Ca 0.0000 0.0000 0.0000
# - Space-group type: Pm-3m (221)
# - Total moment: 0.0 μB per formula unit



The most stable of them is w.



w.
# KLiCa3 PBE optimized geometry
data_KLiCa3
_chemical_formula_sum 'K1 Li1 Ca3'
_symmetry_space_group_name_H-M 'P 1'
_symmetry_Int_Tables_number 1
_cell_length_a 6.6461
_cell_length_b 6.6461
_cell_length_c 6.6461
_cell_angle_alpha 90.00
_cell_angle_beta 90.00
_cell_angle_gamma 90.00
loop_
_symmetry_equiv_pos_as_xyz
'x,y,z'
loop_
_atom_site_label
_atom_site_type_symbol
_atom_site_fract_x
_atom_site_fract_y
_atom_site_fract_z
K1 K 0.0000 0.0000 0.0000
Li1 Li 0.5000 0.5000 0.5000
Ca1 Ca 0.0000 0.0000 0.5000
Ca2 Ca 0.0000 0.5000 0.0000
Ca3 Ca 0.5000 0.0000 0.0000
# - Space-group type: Pm-3m (221)
# - Total moment: 0.0 μB per formula unit



x.
# KLiCa3 PBE optimized geometry
data_KLiCa3
_chemical_formula_sum 'K1 Li1 Ca3'
_symmetry_space_group_name_H-M 'P 1'
_symmetry_Int_Tables_number 1
_cell_length_a 6.1197
_cell_length_b 6.1197
_cell_length_c 6.1197
_cell_angle_alpha 90.00
_cell_angle_beta 90.00
_cell_angle_gamma 90.00
loop_
_symmetry_equiv_pos_as_xyz
'x,y,z'
loop_
_atom_site_label
_atom_site_type_symbol
_atom_site_fract_x
_atom_site_fract_y
_atom_site_fract_z
K1 K 0.0000 0.0000 0.0000
Li1 Li 0.5000 0.5000 0.5000
Ca1 Ca 0.0000 0.5000 0.5000
Ca2 Ca 0.5000 0.0000 0.5000
Ca3 Ca 0.5000 0.5000 0.0000
# - Space-group type: Pm-3m (221)
# - Total moment: 0.0 μB per formula unit



The most stable of them is x.